Record 1
Below is a geometry-optimized K8Sb2O structure, with properties calculated at the PBE-GGA level.

a = 20.5314 Å, b = 5.9444 Å, c = 7.2198 Å
α = 90.00°, β = 110.42°, γ = 90.00°
Space group C2/m (No. 12)
One atom of each set of equivalent atoms:
K: 0.0035 0.0000 0.2345 x4
K: 0.0929 0.5000 0.8244 x4
K: 0.1188 0.5000 0.3219 x4
K: 0.2304 0.0000 0.2081 x4
Sb: 0.1562 0.0000 0.6504 x4
O: 0.0000 0.5000 0.0000 x2

* total DFT energy (no corrections): -27.8 eV per formula unit
* theoretical density: 2.30 g cm⁻³
* V: 37.535 Å³ per atom
* magnetic moment: 0.0 μB/f.u.
* N(E_F): 0.1600 states/eV per atom

***

Record 2
Below is a geometry-optimized KSb2O4 structure, with properties calculated at the PBE-GGA level.

a = 7.5027 Å, b = 7.5027 Å, c = 8.9509 Å
α = 90.00°, β = 90.00°, γ = 90.00°
Space group I-42d (No. 122)
One atom of each set of equivalent atoms:
K: 0.0000 0.0000 0.0000 x4
Sb: 0.0035 0.2500 0.6250 x8
O: 0.0565 0.1867 0.3790 x16

* total DFT energy (no corrections): -37.6 eV per formula unit
* theoretical density: 4.57 g cm⁻³
* V: 17.995 Å³ per atom
* magnetic moment: 0.9 μB/f.u.
* N(E_F): 0.6091 states/eV per atom

***

Record 3
Below is a geometry-optimized K2SbO2 structure, with properties calculated at the PBE-GGA level.

a = 9.6403 Å, b = 4.2660 Å, c = 12.8534 Å
α = 90.00°, β = 90.00°, γ = 90.00°
Space group Pnma (No. 62)
One atom of each set of equivalent atoms:
K: 0.0728 0.2500 0.1034 x4
K: 0.1191 0.2500 0.6665 x4
Sb: 0.2003 0.2500 0.3913 x4
O: 0.1674 0.7500 0.7762 x4
O: 0.1775 0.7500 0.0127 x4

* total DFT energy (no corrections): -22.8 eV per formula unit
* theoretical density: 2.91 g cm⁻³
* V: 26.430 Å³ per atom
* magnetic moment: 0.0 μB/f.u.
* N(E_F): 0.3503 states/eV per atom

***

Record 4
Below is a geometry-optimized K3SbO4 structure, with properties calculated at the PBE-GGA level.

a = 6.6324 Å, b = 7.4716 Å, c = 5.7800 Å
α = 90.00°, β = 108.48°, γ = 90.00°
Space group P2/c (No. 13)
One atom of each set of equivalent atoms:
K: 0.0000 0.1090 0.2500 x2
K: 0.0000 0.3756 0.7500 x2
K: 0.5000 0.3886 0.2500 x2
Sb: 0.5000 0.1135 0.7500 x2
O: 0.2914 0.2958 0.5715 x4
O: 0.3313 0.0872 0.0057 x4

* total DFT energy (no corrections): -39.6 eV per formula unit
* theoretical density: 3.71 g cm⁻³
* energy relative to the lowest polymorph listed for this composition: 28 kJ/mol of formula units
* V: 16.978 Å³ per atom
* magnetic moment: 0.0 μB/f.u.
* N(E_F): 0.0000 states/eV per atom

***

Record 5
Below is a geometry-optimized K3Sb5O14 structure, with properties calculated at the PBE-GGA level.

a = 7.2769 Å, b = 24.6971 Å, c = 7.4576 Å
α = 90.00°, β = 90.00°, γ = 90.00°
Space group Pba2 (No. 32)
One atom of each set of equivalent atoms:
K: 0.1048 0.1167 0.0000 x4
K: 0.1331 0.2060 0.5073 x4
K: 0.2227 0.4846 0.0249 x4
Sb: 0.0816 0.9429 0.5139 x4
Sb: 0.0929 0.5622 0.5142 x4
Sb: 0.1113 0.3547 0.2494 x4
Sb: 0.1109 0.3546 0.7782 x4
Sb: 0.1735 0.7439 0.0139 x4
O: 0.0000 0.0000 0.3345 x2
O: 0.0000 0.0000 0.6930 x2
O: 0.0285 0.3573 0.5137 x4
O: 0.0458 0.5739 0.2577 x4
O: 0.0457 0.5741 0.7705 x4
O: 0.0666 0.2184 0.0150 x4
O: 0.1201 0.6852 0.1982 x4
O: 0.1205 0.6854 0.8289 x4
O: 0.1601 0.8961 0.7108 x4
O: 0.1602 0.8967 0.3151 x4
O: 0.1607 0.4824 0.5135 x4
O: 0.1620 0.0939 0.5153 x4
O: 0.1839 0.3805 0.0137 x4
O: 0.2371 0.7885 0.2398 x4
O: 0.2373 0.7885 0.7888 x4

* total DFT energy (no corrections): -127.0 eV per formula unit
* theoretical density: 4.71 g cm⁻³
* V: 15.230 Å³ per atom
* magnetic moment: 0.0 μB/f.u.

***

Record 6
Below is a geometry-optimized KSb3O structure, with properties calculated at the PBE-GGA level.

a = 5.9436 Å, b = 5.9436 Å, c = 5.9436 Å
α = 90.00°, β = 90.00°, γ = 90.00°
Space group Pm-3m (No. 221)
One atom of each set of equivalent atoms:
K: 0.0000 0.0000 0.0000 x1
Sb: 0.0000 0.0000 0.5000 x3
O: 0.5000 0.5000 0.5000 x1

* total DFT energy (no corrections): -9.9 eV per formula unit
* theoretical density: 3.32 g cm⁻³
* energy relative to the lowest polymorph listed for this composition: 892 kJ/mol of formula units
* V: 41.992 Å³ per atom
* magnetic moment: 3.2 μB/f.u.
* N(E_F): 1.7100 states/eV per atom

***

Record 7
Below is a geometry-optimized K2SbSeO6 structure, with properties calculated at the PBE-GGA level.

a = 7.9505 Å, b = 7.9505 Å, c = 7.9505 Å
α = 90.00°, β = 90.00°, γ = 90.00°
Space group Fm-3m (No. 225)
One atom of each set of equivalent atoms:
K: 0.2500 0.2500 0.2500 x8
Sb: 0.0000 0.0000 0.0000 x4
Se: 0.0000 0.0000 0.5000 x4
O: 0.0000 0.0000 0.2571 x24

* total DFT energy (no corrections): -50.3 eV per formula unit
* theoretical density: 4.96 g cm⁻³
* V: 12.564 Å³ per atom
* magnetic moment: 0.0 μB/f.u.
* N(E_F): 0.1547 states/eV per atom

***

Record 8
Below is a geometry-optimized KSbSeO structure, with properties calculated at the PBE-GGA level.

a = 7.3307 Å, b = 3.6965 Å, c = 7.3338 Å
α = 90.00°, β = 107.96°, γ = 90.00°
Space group Cm (No. 8)
One atom of each set of equivalent atoms:
K: 0.0000 0.0000 0.0000 x2
Sb: 0.4068 0.0000 0.4073 x2
Se: 0.2072 0.0000 0.6573 x2
O: 0.2714 0.5000 0.2519 x2

* total DFT energy (no corrections): -17.3 eV per formula unit
* theoretical density: 4.49 g cm⁻³
* V: 23.631 Å³ per atom
* magnetic moment: 0.0 μB/f.u.

***

Record 9
Below is a geometry-optimized KSiSbO5 structure, with properties calculated at the PBE-GGA level.

a = 13.2085 Å, b = 6.5683 Å, c = 10.7835 Å
α = 90.00°, β = 90.00°, γ = 90.00°
Space group Pna2_1 (No. 33)
One atom of each set of equivalent atoms:
K: 0.1074 0.1972 0.0000 x4
K: 0.1193 0.7750 0.7438 x4
Si: 0.0000 0.3283 0.6873 x4
Si: 0.1810 0.0030 0.4381 x4
Sb: 0.1192 0.4997 0.4377 x4
Sb: 0.2478 0.7530 0.1867 x4
O: 0.0101 0.5283 0.3125 x4
O: 0.0133 0.4878 0.5705 x4
O: 0.0993 0.8185 0.1678 x4
O: 0.1017 0.1864 0.7055 x4
O: 0.1079 0.1991 0.4104 x4
O: 0.1089 0.8050 0.4685 x4
O: 0.2262 0.4789 0.5679 x4
O: 0.2287 0.5326 0.3126 x4
O: 0.2404 0.4580 0.8225 x4
O: 0.2410 0.5406 0.0558 x4

* total DFT energy (no corrections): -52.3 eV per formula unit
* theoretical density: 3.82 g cm⁻³
* V: 14.618 Å³ per atom
* magnetic moment: 0.0 μB/f.u.
* N(E_F): 0.0000 states/eV per atom

***

Record 10
Below is a geometry-optimized KSiSbO6 structure, with properties calculated at the PBE-GGA level.

a = 5.0704 Å, b = 5.0704 Å, c = 6.1140 Å
α = 90.00°, β = 90.00°, γ = 120.00°
Space group P312 (No. 149)
One atom of each set of equivalent atoms:
K: 0.0000 0.0000 0.0000 x1
Si: 0.6667 0.3333 0.5000 x1
Sb: 0.3333 0.6667 0.5000 x1
O: 0.3887 0.0339 0.6689 x6

* total DFT energy (no corrections): -54.0 eV per formula unit
* theoretical density: 3.48 g cm⁻³
* V: 15.125 Å³ per atom
* magnetic moment: 2.0 μB/f.u.
* N(E_F): 0.6070 states/eV per atom

***

Record 11
Below is a geometry-optimized K4Sm3SbO8 structure, with properties calculated at the PBE-GGA level.

a = 7.1464 Å, b = 7.1464 Å, c = 18.8517 Å
α = 90.00°, β = 90.00°, γ = 120.00°
Space group R-3m (No. 166, hexagonal axes)
One atom of each set of equivalent atoms:
K: 0.0000 0.0000 0.0000 x3
K: 0.0000 0.5000 0.0000 x9
Sm: 0.0000 0.5000 0.5000 x9
Sb: 0.0000 0.0000 0.5000 x3
O: 0.0000 0.0000 0.2295 x6
O: 0.0008 0.5004 0.7695 x18

* total DFT energy (no corrections): -99.4 eV per formula unit
* theoretical density: 5.12 g cm⁻³
* V: 17.370 Å³ per atom
* magnetic moment: 0.0 μB/f.u.
* N(E_F): 0.0000 states/eV per atom

***

Record 12
Below is a geometry-optimized K2SmSbO4 structure, with properties calculated at the PBE-GGA level.

a = 7.2665 Å, b = 7.2718 Å, c = 10.2530 Å
α = 90.00°, β = 90.00°, γ = 90.00°
Space group Imma (No. 74)
One atom of each set of equivalent atoms:
K: 0.0000 0.0000 0.0000 x4
K: 0.2500 0.2500 0.2500 x4
Sm: 0.0000 0.0000 0.5000 x4
Sb: 0.2500 0.2500 0.7500 x4
O: 0.0000 0.0323 0.7316 x8
O: 0.2125 0.2500 0.5183 x8

* total DFT energy (no corrections): -46.3 eV per formula unit
* theoretical density: 5.08 g cm⁻³
* V: 16.930 Å³ per atom
* magnetic moment: 0.0 μB/f.u.